## PaV2Ge2 (PBE)

Data for a geometry-optimized PaV2Ge2 structure.

Spin magnetization (μB/cell): 0.000
Calculated total energy (eV/cell): -77.8

Cell: 3.920 3.920 11.416 Å, 90.00 90.00 90.00°
Sites, in units of the cell vectors:
Pa (0.000, 0.000, 0.000)
Pa (0.500, 0.500, 0.500)
V (0.000, 0.500, 0.250)
V (0.000, 0.500, 0.750)
V (0.500, 0.000, 0.250)
V (0.500, 0.000, 0.750)
Ge (0.000, 0.000, 0.389)
Ge (0.000, 0.000, 0.611)
Ge (0.500, 0.500, 0.111)
Ge (0.500, 0.500, 0.889)